A geometry-optimized NdEuErSn structure, computed with GGA-PBE.

Values from the calculation:
formation energy = -244 meV/atom
crystal system = cubic

Cell lengths 5.5124, 5.5124, 5.5124 Å; angles 60.00, 60.00, 60.00 degrees
Fractional coordinates of all 4 atoms:
Sn1 0.2500 0.2500 0.2500
Eu1 0.7500 0.7500 0.7500
Nd1 0.5000 0.5000 0.5000
Er1 0.0000 0.0000 0.0000


A geometry-optimized YNi2Ag structure, computed with GGA-PBE.

Values from the calculation:
formation energy = -135 meV/atom
crystal system = tetragonal
ΔE to the lowest computed polymorph = 26 meV per atom

Cell lengths 5.0912, 5.0912, 5.0912 Å; angles 134.58, 134.58, 66.18 degrees
Fractional coordinates of all 4 atoms:
Ag1 0.7500 0.2500 0.5000
Y1 0.5000 0.5000 0.0000
Ni1 0.2500 0.7500 0.5000
Ni2 0.0000 0.0000 0.0000


A geometry-optimized PmNdN structure, computed with GGA-PBE.

Values from the calculation:
crystal system = cubic
ΔE to the lowest computed polymorph = 588 meV per atom

Cell lengths 4.4041, 4.4041, 4.4041 Å; angles 60.00, 60.00, 60.00 degrees
Fractional coordinates of all 3 atoms:
Pm1 0.0000 0.0000 0.0000
Nd1 0.5000 0.5000 0.5000
N1 0.2500 0.2500 0.2500


no.,theoretical density (g/cm³)
1,8.2
2,7.9
3,8.3